A plane-wave DFT calculation with PBE-GGA was carried out for a relaxed SrPr3Bi3 crystal.

POSCAR file:
```
SrPr3Bi3
1.0
4.850 2.800 6.501
-4.850 2.800 6.501
0.000 -5.600 6.501
Sr Pr Bi
2 6 6
direct
0.166 0.166 0.166
0.834 0.834 0.834
0.149 0.409 0.683
0.317 0.851 0.591
0.409 0.683 0.149
0.591 0.317 0.851
0.683 0.149 0.409
0.851 0.591 0.317
0.038 0.793 0.423
0.207 0.577 0.962
0.423 0.038 0.793
0.577 0.962 0.207
0.793 0.423 0.038
0.962 0.207 0.577
```

density of states at the Fermi level = 9.703 states/eV per cell
energy of formation from the pure elements = -5.2 eV per formula unit